Record 1
DFT (PBE-GGA) results for an optimized crystal structure of SmGa2O4.

Results
As for the space-group type: C2.

Cell: 6.8242 5.8684 5.8688 Å, 78.95 69.93 69.94°
Element x y z (fractional)
O (0.9566, 0.7847, 0.3286)
O (0.0692, 0.7209, 0.8247)
O (0.2609, 0.2080, 0.6964)
O (0.7935, 0.1715, 0.7153)
O (0.1403, 0.2556, 0.2070)
O (0.4892, 0.8035, 0.2920)
O (0.6098, 0.2930, 0.2443)
O (0.6804, 0.6757, 0.7789)
Sm (0.7718, 0.4964, 0.4343)
Sm (0.9783, 0.0656, 0.0037)
Ga (0.4779, 0.6037, 0.0676)
Ga (0.2721, 0.4324, 0.8963)
Ga (0.3750, 0.1322, 0.3678)
Ga (0.8750, 0.8569, 0.6432)

***

Record 2
DFT (PBE-GGA) results for an optimized crystal structure of Sm4Ga2O.

Results
As for the space-group type: I4/mmm.

Cell: 4.6688 4.6688 8.8849 Å, 74.77 74.77 90.00°
Element x y z (fractional)
O (0.0000, 0.0000, 0.0000)
Ga (0.1428, 0.1428, 0.7144)
Ga (0.8572, 0.8572, 0.2856)
Sm (0.5000, 0.0000, 0.0000)
Sm (0.6775, 0.6775, 0.6451)
Sm (0.3225, 0.3225, 0.3549)
Sm (0.0000, 0.5000, 0.0000)

***

Number 1: E above lowest polymorph 0 meV/atom, ΔE_f (raw) -15.4 eV per formula unit. Number 2: E above lowest polymorph 241 meV/atom, ΔE_f (raw) -6.0 eV per formula unit.